CoAs2O6: relaxed, PBE+U.

Values from the calculation:
- DFT total energy: -6.089 eV/atom
- Volume: 93 Å³/f.u.
- Space-group type: P-31m

abc: 4.5622 4.8596 4.8596
angles: 120.00 90.00 90.00
Last column: nearest neighbours and their distance in Å.
Positions (direct):
Co 0.0000 0.0000 0.0000  6 O 2.16
As 0.5000 0.6667 0.3333  6 O 1.86
As 0.5000 0.3333 0.6667  6 O 1.86
O 0.7255 0.6371 0.6371  2 As 1.86
O 0.2745 0.6371 0.0000  2 As 1.86
O 0.2745 0.0000 0.6371  2 As 1.86
O 0.7255 0.3629 0.0000  2 As 1.86
O 0.2745 0.3629 0.3629  2 As 1.86
O 0.7255 0.0000 0.3629  2 As 1.86